# 1
The following is a DFT calculation (PBE-GGA) of a relaxed Ca2Y2Co crystal.

## Properties
Energy of formation: 0.180 eV/atom
Offset from the most stable computed form: 0.000 eV per atom
Calculated density: 3.4 g cm⁻³

Structure (CIF):
```
data_Ca2Y2Co
_symmetry_space_group_name_H-M 'P 4/m b m'
_symmetry_Int_Tables_number 127
_symmetry_space_group_name_Hall '-P 4 2ab'
_cell_length_a 7.0631
_cell_length_b 7.0631
_cell_length_c 6.1481
_cell_angle_alpha 90.00
_cell_angle_beta 90.00
_cell_angle_gamma 90.00
loop_
_atom_site_label
_atom_site_fract_x
_atom_site_fract_y
_atom_site_fract_z
Ca1 0.1771 0.3229 0.0000
Y1 0.1706 0.6706 0.5000
Co1 0.0000 0.0000 0.5000
```

# 2
The following is a DFT calculation (PBE-GGA) of a relaxed Bi3Pd8 crystal.

## Properties
Energy of formation: -0.247 eV/atom
Offset from the most stable computed form: 0.000 eV per atom
Calculated density: 12.2 g cm⁻³

Structure (CIF):
```
data_Bi3Pd8
_symmetry_space_group_name_H-M 'R 3'
_symmetry_Int_Tables_number 146
_symmetry_space_group_name_Hall 'R 3'
_cell_length_a 7.9997
_cell_length_b 7.9997
_cell_length_c 43.5025
_cell_angle_alpha 90.00
_cell_angle_beta 90.00
_cell_angle_gamma 120.00
loop_
_atom_site_label
_atom_site_fract_x
_atom_site_fract_y
_atom_site_fract_z
Bi1 0.0000 0.0000 0.0000
Bi2 0.0000 0.0000 0.1426
Bi3 0.0000 0.0000 0.3387
Bi4 0.0000 0.0000 0.4994
Bi5 0.0000 0.0000 0.6425
Bi6 0.0000 0.0000 0.8387
Bi7 0.0252 0.3433 0.9079
Bi8 0.0255 0.6815 0.4078
Pd1 0.0000 0.0000 0.0662
Pd2 0.0000 0.0000 0.2083
Pd3 0.0000 0.0000 0.2756
Pd4 0.0000 0.0000 0.4323
Pd5 0.0000 0.0000 0.5656
Pd6 0.0000 0.0000 0.7082
Pd7 0.0000 0.0000 0.7756
Pd8 0.0000 0.0000 0.9329
Pd9 0.9999 0.2987 0.1082
Pd10 0.0013 0.6361 0.1402
Pd11 0.0018 0.3658 0.6403
Pd12 0.0043 0.6957 0.6745
Pd13 0.0052 0.3093 0.1747
Pd14 0.0333 0.3489 0.0407
Pd15 0.0332 0.6837 0.5406
Pd16 0.0354 0.6672 0.2747
```

# 3
The following is a DFT calculation (PBE-GGA) of a relaxed ZrGaB2 crystal.

## Properties
Energy of formation: 0.405 eV/atom
Calculated density: 5.5 g cm⁻³

Structure (CIF):
```
data_ZrGaB2
_symmetry_space_group_name_H-M 'I -4 2 d'
_symmetry_Int_Tables_number 122
_symmetry_space_group_name_Hall 'I -4 2bw'
_cell_length_a 4.0223
_cell_length_b 4.0223
_cell_length_c 13.6619
_cell_angle_alpha 90.00
_cell_angle_beta 90.00
_cell_angle_gamma 90.00
loop_
_atom_site_label
_atom_site_fract_x
_atom_site_fract_y
_atom_site_fract_z
Zr1 0.0000 0.0000 0.0000
Ga1 0.0000 0.0000 0.5000
B1 0.1059 0.2500 0.6250
```

# 4
The following is a DFT calculation (PBE-GGA) of a relaxed ScSb3As crystal.

## Properties
Offset from the most stable computed form: 0.000 eV per atom
Calculated density: 5.4 g cm⁻³
Formation energy without anion corrections: 0.442 eV per atom

Structure (CIF):
```
data_ScSb3As
_symmetry_space_group_name_H-M 'P m -3 m'
_symmetry_Int_Tables_number 221
_symmetry_space_group_name_Hall '-P 4 2 3'
_cell_length_a 5.3014
_cell_length_b 5.3014
_cell_length_c 5.3014
_cell_angle_alpha 90.00
_cell_angle_beta 90.00
_cell_angle_gamma 90.00
loop_
_atom_site_label
_atom_site_fract_x
_atom_site_fract_y
_atom_site_fract_z
Sc1 0.0000 0.0000 0.0000
Sb1 0.0000 0.5000 0.5000
As1 0.5000 0.5000 0.5000
```

# 5
The following is a DFT calculation (PBE-GGA) of a relaxed Tm2Be2GaIr5 crystal.

## Properties
Energy of formation: -0.787 eV/atom
Calculated density: 15.6 g cm⁻³

Structure (CIF):
```
data_Tm2Be2GaIr5
_symmetry_space_group_name_H-M 'P 4/m b m'
_symmetry_Int_Tables_number 127
_symmetry_space_group_name_Hall '-P 4 2ab'
_cell_length_a 9.6577
_cell_length_b 9.6577
_cell_length_c 3.1670
_cell_angle_alpha 90.00
_cell_angle_beta 90.00
_cell_angle_gamma 90.00
loop_
_atom_site_label
_atom_site_fract_x
_atom_site_fract_y
_atom_site_fract_z
Tm1 0.1770 0.3230 0.0000
Be1 0.1233 0.6233 0.0000
Ga1 0.0000 0.0000 0.0000
Ir1 0.0000 0.5000 0.5000
Ir2 0.0655 0.7882 0.5000
```

# 6
The following is a DFT calculation (PBE-GGA) of a relaxed TbTeO4 crystal.

## Properties
Offset from the most stable computed form: 0.353 eV per atom
Calculated density: 6.8 g cm⁻³
Formation energy without anion corrections: -1.658 eV per atom

Structure (CIF):
```
data_TbTeO4
_symmetry_space_group_name_H-M 'I -4'
_symmetry_Int_Tables_number 82
_symmetry_space_group_name_Hall 'I -4'
_cell_length_a 7.2534
_cell_length_b 7.2534
_cell_length_c 3.2686
_cell_angle_alpha 90.00
_cell_angle_beta 90.00
_cell_angle_gamma 90.00
loop_
_atom_site_label
_atom_site_fract_x
_atom_site_fract_y
_atom_site_fract_z
Tb1 0.0000 0.0000 0.0000
Te1 0.0000 0.5000 0.7500
O1 0.0302 0.7511 0.5498
```

# 7
The following is a DFT calculation (PBE-GGA) of a relaxed Co3SiH crystal.

## Properties
Offset from the most stable computed form: 0.109 eV per atom
Calculated density: 7.7 g cm⁻³

Structure (CIF):
```
data_Co3SiH
_symmetry_space_group_name_H-M 'A m m 2'
_symmetry_Int_Tables_number 38
_symmetry_space_group_name_Hall 'A 2 -2'
_cell_length_a 3.5085
_cell_length_b 7.1963
_cell_length_c 6.9897
_cell_angle_alpha 90.00
_cell_angle_beta 90.00
_cell_angle_gamma 90.00
loop_
_atom_site_label
_atom_site_fract_x
_atom_site_fract_y
_atom_site_fract_z
Co1 0.0000 0.0000 0.0000
Co2 0.0000 0.0000 0.4918
Co3 0.0000 0.2470 0.2473
Co4 0.5000 0.0000 0.2456
Co5 0.5000 0.0000 0.7458
Si1 0.5000 0.2315 0.9983
H1 0.0000 0.0000 0.7444
H2 0.5000 0.0000 0.4910
```

# 8
The following is a DFT calculation (PBE-GGA) of a relaxed YbAg2 crystal.

## Properties
Energy of formation: -0.356 eV/atom
Calculated density: 9.4 g cm⁻³

Structure (CIF):
```
data_YbAg2
_symmetry_space_group_name_H-M 'C 1 2/m 1'
_symmetry_Int_Tables_number 12
_symmetry_space_group_name_Hall '-C 2y'
_cell_length_a 9.5415
_cell_length_b 7.2005
_cell_length_c 4.5713
_cell_angle_alpha 90.00
_cell_angle_beta 118.50
_cell_angle_gamma 90.00
loop_
_atom_site_label
_atom_site_fract_x
_atom_site_fract_y
_atom_site_fract_z
Yb1 0.2056 0.0000 0.4557
Ag1 0.0908 0.2950 0.8403
```

Question: Which value of calculated density does entry 1 give?
Answer: 3.4 g cm⁻³

Question: Which formula does entry 5 have?
Answer: Tm2Be2GaIr5

Question: calculated density of number 3 (ZrGaB2)?
Answer: 5.5 g cm⁻³

Question: The lowest calculated density belongs to which entry?
Answer: Ca2Y2Co